Here is crystalline K2SmTlI6 at its relaxed geometry from Alexandria via LeMat-Bulk. Energies are from PBE-GGA.

a b c (Å): 8.700 8.698 9.079
angles (deg): 61.35 61.33 59.98
Positions (direct):
Tl 0.817 0.817 0.550
I 0.207 0.976 0.251
K 0.017 0.017 0.949
I 0.976 0.566 0.251
I 0.682 0.115 0.773
Sm 0.325 0.325 0.026
K 0.527 0.527 0.418
I 0.115 0.430 0.773
I 0.566 0.207 0.251
I 0.430 0.682 0.773

Properties
raw formation energy: -124.40 kJ per mole of atoms
density of states at the Fermi level: 0.00 states/eV/cell